# 1
An optimized crystal structure of CrTcGeH2, computed with PBE.

As for the total energy: -28.74 eV/f.u. The space group is P4/mmm (123). As for the volume: 63.1 Å³/f.u.

abc: 3.444 5.322 3.444
angles: 90.00 90.00 90.00
Site moments in Bohr magnetons follow the coordinates.
Element x y z (fractional)
Cr 0.000 0.000 0.000  2.83
Ge 0.500 0.500 0.500  0.03
Tc 0.000 0.500 0.000  -0.30
H 0.000 0.000 0.500  -0.04
H 0.500 0.000 0.000  -0.03



# 2
An optimized crystal structure of Er3TmGa, computed with PBE.

The space group is C2/m (12). The calculation puts the formation energy at -0.07 eV per atom. As for the volume: 149.9 Å³/f.u.

abc: 7.312 7.312 7.370
angles: 104.84 117.54 106.00
Element x y z (fractional)
Er 0.842 0.024 0.250
Er 0.226 0.409 0.250
Er 0.774 0.591 0.750
Er 0.725 0.446 0.171
Er 0.158 0.976 0.750
Er 0.275 0.554 0.829
Tm 0.702 0.068 0.769
Tm 0.298 0.932 0.231
Ga 0.632 0.756 0.388
Ga 0.368 0.244 0.612



# 3
An optimized crystal structure of TbY2Ho3Bi6, computed with PBE.

The space group is C2/m (12). The calculation puts the formation energy at -0.86 eV per atom. As for the volume: 379.8 Å³/f.u.

abc: 4.473 8.948 10.001
angles: 102.86 102.92 90.00
Element x y z (fractional)
Tb 0.500 0.000 0.000
Y 0.833 0.667 0.667
Y 0.167 0.333 0.333
Ho 0.500 0.500 0.000
Ho 0.833 0.167 0.667
Ho 0.167 0.833 0.333
Bi 0.333 0.918 0.666
Bi 0.666 0.584 0.333
Bi 0.667 0.082 0.334
Bi 0.000 0.251 0.999
Bi 0.000 0.749 0.001
Bi 0.334 0.416 0.667



# 4
An optimized crystal structure of EuPuAlZn, computed with PBE.

The space group is F-43m (216). The calculation puts the formation energy at -0.09 eV per atom. As for the volume: 99.3 Å³/f.u.

abc: 5.197 5.197 5.197
angles: 60.00 60.00 60.00
Site moments in Bohr magnetons follow the coordinates.
Element x y z (fractional)
Eu 0.500 0.500 0.500  6.84
Zn 0.250 0.250 0.250  0.03
Al 0.750 0.750 0.750  -0.02
Pu 0.000 0.000 0.000  5.42



# 5
An optimized crystal structure of Na4Pu3Se8, computed with PBE.

As for the total energy: -93.18 eV/f.u. The space group is C2/m (12). As for the volume: 396.5 Å³/f.u.

abc: 8.228 8.337 8.337
angles: 89.51 120.78 120.78
Site moments in Bohr magnetons follow the coordinates.
Element x y z (fractional)
Na 0.500 0.000 0.000  -0.01
Na 0.000 0.500 0.000  0.00
Na 0.000 0.000 0.000  0.00
Na 0.000 0.000 0.500  0.00
Pu 0.500 0.500 0.000  4.94
Pu 0.500 0.000 0.500  4.94
Pu 0.500 0.500 0.500  4.45
Se 0.517 0.268 0.268  -0.21
Se 0.000 0.748 0.252  -0.23
Se 0.036 0.269 0.269  -0.28
Se 0.500 0.744 0.256  -0.14
Se 0.500 0.256 0.744  -0.14
Se 0.964 0.731 0.731  -0.28
Se 0.000 0.252 0.748  -0.23
Se 0.483 0.732 0.732  -0.21



# 6
An optimized crystal structure of Sc2Sb5Pd12, computed with PBE.

As for the total energy: -103.90 eV/f.u. The space group is C2/m (12). As for the volume: 374.3 Å³/f.u.

abc: 7.334 7.324 8.192
angles: 99.21 90.00 120.05
Element x y z (fractional)
Sc 0.754 0.000 0.000
Sc 0.246 0.000 0.000
Sb 0.253 0.506 0.575
Sb 0.323 0.646 0.136
Sb 0.000 0.000 0.500
Sb 0.677 0.354 0.864
Sb 0.747 0.494 0.425
Pd 0.101 0.202 0.244
Pd 0.094 0.580 0.856
Pd 0.487 0.580 0.856
Pd 0.187 0.773 0.422
Pd 0.586 0.773 0.422
Pd 0.461 0.922 0.744
Pd 0.539 0.078 0.256
Pd 0.813 0.227 0.578
Pd 0.414 0.227 0.578
Pd 0.906 0.420 0.144
Pd 0.513 0.420 0.144
Pd 0.899 0.798 0.756



# 7
An optimized crystal structure of LaPrEuMg, computed with PBE.

The space group is F-43m (216). The calculation puts the formation energy at 0.02 eV per atom. As for the volume: 136.2 Å³/f.u.

abc: 5.775 5.775 5.775
angles: 60.00 60.00 60.00
Site moments in Bohr magnetons follow the coordinates.
Element x y z (fractional)
Eu 0.500 0.500 0.500  6.86
Pr 0.250 0.250 0.250  0.03
Mg 0.000 0.000 0.000  -0.01
La 0.750 0.750 0.750  0.04



# 8
An optimized crystal structure of UGaSb2, computed with PBE.

As for the total energy: -22.22 eV/f.u. The space group is R3m (160). As for the volume: 115.5 Å³/f.u.

abc: 4.574 4.574 6.898
angles: 70.64 70.64 60.00
Site moments in Bohr magnetons follow the coordinates.
Element x y z (fractional)
U 0.665 0.665 0.006  1.99
Ga 0.497 0.497 0.510  -0.04
Sb 0.084 0.084 0.747  -0.04
Sb 0.255 0.255 0.236  -0.06



# 9
An optimized crystal structure of OsPdPtRh, computed with PBE.

The space group is P4mm (99). The calculation puts the formation energy at 0.02 eV per atom. As for the volume: 59.4 Å³/f.u.

abc: 2.748 2.748 7.866
angles: 90.00 90.00 90.00
Element x y z (fractional)
Os 0.000 0.000 0.564
Pd 0.000 0.000 0.076
Pt 0.500 0.500 0.810
Rh 0.500 0.500 0.335



# 10
An optimized crystal structure of Cr2SbRh, computed with PBE.

As for the total energy: -28.61 eV/f.u. The space group is R-3m (166). As for the volume: 61.3 Å³/f.u.

abc: 8.532 8.532 8.532
angles: 19.62 19.62 19.62
Site moments in Bohr magnetons follow the coordinates.
Element x y z (fractional)
Cr 0.997 0.997 0.997  1.16
Cr 0.503 0.503 0.503  1.16
Rh 0.250 0.250 0.250  0.06
Sb 0.750 0.750 0.750  -0.03



Per-record D(E_F), states/eV/cell: 2.14 15.01 2.01 11.33 26.23 7.34 4.41 9.69 3.84 5.54